DFT (PBE-GGA) results for a geometry-optimized CsTe3IrAu structure. Values from VASP.

Properties
VASP energy in eV for the cell shown: -48.3
Space group: No. 63
Crystal system: orthorhombic

Cell and atoms, written as Quantum ESPRESSO input:
```
&SYSTEM
  ibrav = 0, nat = 12, ntyp = 4
/
ATOMIC_SPECIES
Cs 132.91 Cs.upf
Te 127.60 Te.upf
Ir 192.22 Ir.upf
Au 196.97 Au.upf
CELL_PARAMETERS angstrom
2.0237 -9.0086 0.0000
2.0237 9.0086 0.0000
0.0000 0.0000 10.8675
ATOMIC_POSITIONS crystal
Cs 0.2430 0.7570 0.7500
Cs 0.7570 0.2430 0.2500
Te 0.0983 0.9017 0.0091
Te 0.0983 0.9017 0.4909
Te 0.4589 0.5411 0.2500
Te 0.5411 0.4589 0.7500
Te 0.9017 0.0983 0.5091
Te 0.9017 0.0983 0.9909
Ir 0.5000 0.5000 0.0000
Ir 0.5000 0.5000 0.5000
Au 0.0957 0.9043 0.2500
Au 0.9043 0.0957 0.7500
```